(1)
DFT (GGA-PBE) results for crystalline Li3LaW at its relaxed geometry.

Structure (POSCAR):
```
Li3LaW
1.0
-2.420 -2.082 3.259
3.067 -3.374 0.123
2.354 2.256 3.190
W Li La
1 3 1
Direct
0.500 0.500 0.500
0.500 0.000 0.000
0.000 0.000 0.500
0.000 0.500 0.000
0.000 0.000 0.000
```

Summary:
Size of the total moment in μB per atom: 0.00
Excess energy over the best structure of this formula in the dataset in meV per atom: 795.7
VASP energy in eV per atom: -2.7979
Formation energy from the elements in eV/atom: 1.927
Calculated volume in Å³/cell: 94.93
Calculated density in g/cm3: 6.010

=====

(2)
DFT (GGA-PBE) results for crystalline CaLaMg2Cd2 at its relaxed geometry.

Structure (POSCAR):
```
CaLaMg2Cd2
1.0
-4.850 -1.476 0.741
2.237 -0.742 -4.549
2.349 -6.598 2.231
Mg La Ca Cd
2 1 1 2
Direct
0.667 0.333 0.242
0.333 0.667 0.758
0.000 0.000 0.000
0.000 0.000 0.500
0.667 0.333 0.765
0.333 0.667 0.235
```

Summary:
Size of the total moment in μB per atom: 0.00
VASP energy in eV per atom: -2.2363
Formation energy from the elements in eV/atom: -0.245
Calculated volume in Å³/cell: 167.07
Calculated density in g/cm3: 4.497

=====

(3)
DFT (GGA-PBE) results for crystalline GdMo2N at its relaxed geometry.

Structure (POSCAR):
```
GdMo2N
1.0
3.298 0.000 0.000
1.649 2.857 0.000
1.649 0.952 7.727
N Mo Gd
1 2 1
Direct
0.500 0.500 0.500
0.127 0.127 0.620
0.873 0.873 0.380
0.000 0.000 0.000
```

Summary:
Raw formation energy in kJ/mol of atoms: 30.1
Size of the total moment in μB per atom: 1.91
VASP energy in eV per atom: -10.7054
Calculated volume in Å³/cell: 72.81
Calculated density in g/cm3: 8.282

=====

(4)
DFT (GGA-PBE) results for crystalline Pr3CuAg3 at its relaxed geometry.

Structure (POSCAR):
```
Pr3CuAg3
1.0
4.631 0.000 -1.010
-0.186 3.662 -0.851
-0.143 0.489 10.462
Ag Pr Cu
3 3 1
Direct
0.864 0.364 0.728
0.141 0.641 0.282
0.562 0.562 0.123
0.996 0.996 0.991
0.315 0.815 0.631
0.691 0.191 0.381
0.432 0.432 0.864
```

Summary:
Size of the total moment in μB per atom: 0.00
VASP energy in eV per atom: -4.0705
Formation energy from the elements in eV/atom: -0.215
Calculated volume in Å³/cell: 178.89
Calculated density in g/cm3: 7.518

=====

(5)
DFT (GGA-PBE) results for crystalline HoReOs at its relaxed geometry.

Structure (POSCAR):
```
HoReOs
1.0
5.447 -0.108 0.000
-2.733 4.714 0.000
0.000 0.000 8.645
Re Os Ho
4 4 4
Direct
0.996 0.004 0.247
0.171 0.340 0.500
0.660 0.829 0.500
0.996 0.004 0.753
0.829 0.171 0.000
0.347 0.171 0.000
0.829 0.653 0.000
0.176 0.824 0.500
0.333 0.667 0.182
0.665 0.335 0.313
0.333 0.667 0.818
0.665 0.335 0.687
```

Summary:
Size of the total moment in μB per atom: 0.00
Excess energy over the best structure of this formula in the dataset in meV per atom: 0.0
VASP energy in eV per atom: -9.7079
Formation energy from the elements in eV/atom: -0.289
Calculated volume in Å³/cell: 219.44
Calculated density in g/cm3: 16.386

=====

(6)
DFT (GGA-PBE) results for crystalline Ti3ZnPd at its relaxed geometry.

Structure (POSCAR):
```
Ti3ZnPd
1.0
4.755 0.000 0.000
0.000 4.755 0.000
0.000 0.000 4.755
Ti Zn Pd
3 1 1
Direct
0.000 0.000 0.500
0.000 0.500 0.000
0.500 0.000 0.000
0.500 0.500 0.500
0.000 0.000 0.000
```

Summary:
Size of the total moment in μB per atom: 0.00
Excess energy over the best structure of this formula in the dataset in meV per atom: 835.5
VASP energy in eV per atom: -5.4181
Formation energy from the elements in eV/atom: 0.612
Calculated volume in Å³/cell: 107.52
Calculated density in g/cm3: 4.871